Tm5MgPb8: relaxed, PBE-GGA.

Results
**V**: 29.07 Å³/atom
**Formation energy**: -197 meV per atom

```
data_Tm5MgPb8
_chemical_formula_sum 'Tm5 Mg1 Pb8'
_symmetry_space_group_name_H-M 'P 1'
_symmetry_Int_Tables_number 1
_cell_length_a 8.114
_cell_length_b 8.114
_cell_length_c 8.114
_cell_angle_alpha 112.95
_cell_angle_beta 102.72
_cell_angle_gamma 112.95
loop_
_symmetry_equiv_pos_as_xyz
'x,y,z'
loop_
_atom_site_label
_atom_site_fract_x
_atom_site_fract_y
_atom_site_fract_z
Tm1 0.309 0.084 0.973
Tm2 0.776 0.665 0.691
Tm3 0.500 0.000 0.500
Tm4 0.889 0.916 0.224
Tm5 0.027 0.335 0.111
Pb1 0.960 0.083 0.670
Pb2 0.124 0.711 0.040
Pb3 0.098 0.736 0.508
Pb4 0.587 0.917 0.876
Pb5 0.638 0.410 0.902
Pb6 0.772 0.264 0.362
Pb7 0.330 0.289 0.413
Pb8 0.492 0.590 0.228
Mg1 0.250 0.500 0.750
```


In2Bi2Br: relaxed, PBE-GGA.

Results
**Energy relative to the lowest polymorph listed for this composition**: 46 meV per atom
**ΔE_f (raw)**: -0.05 eV per atom
**V**: 30.79 Å³/atom

```
data_In2Bi2Br
_chemical_formula_sum 'In4 Bi4 Br2'
_symmetry_space_group_name_H-M 'P 1'
_symmetry_Int_Tables_number 1
_cell_length_a 9.188
_cell_length_b 9.188
_cell_length_c 3.647
_cell_angle_alpha 90.00
_cell_angle_beta 90.00
_cell_angle_gamma 90.00
loop_
_symmetry_equiv_pos_as_xyz
'x,y,z'
loop_
_atom_site_label
_atom_site_fract_x
_atom_site_fract_y
_atom_site_fract_z
Bi1 0.649 0.149 0.000
Bi2 0.351 0.851 0.000
Bi3 0.851 0.649 0.000
Bi4 0.149 0.351 0.000
Br1 0.500 0.500 0.000
Br2 0.000 0.000 0.000
In1 0.351 0.149 0.500
In2 0.851 0.351 0.500
In3 0.649 0.851 0.500
In4 0.149 0.649 0.500
```


Sr2NbF: relaxed, PBE-GGA.

Results
**Energy relative to the lowest polymorph listed for this composition**: 0 meV per atom
**ΔE_f (raw)**: -0.52 eV per atom
**V**: 31.48 Å³/atom

```
data_Sr2NbF
_chemical_formula_sum 'Sr4 Nb2 F2'
_symmetry_space_group_name_H-M 'P 1'
_symmetry_Int_Tables_number 1
_cell_length_a 7.705
_cell_length_b 7.705
_cell_length_c 6.905
_cell_angle_alpha 56.08
_cell_angle_beta 56.08
_cell_angle_gamma 90.00
loop_
_symmetry_equiv_pos_as_xyz
'x,y,z'
loop_
_atom_site_label
_atom_site_fract_x
_atom_site_fract_y
_atom_site_fract_z
Sr1 0.521 0.125 0.250
Sr2 0.875 0.771 0.750
Sr3 0.375 0.479 0.750
Sr4 0.229 0.625 0.250
F1 0.250 0.750 0.500
F2 0.500 0.500 0.000
Nb1 0.750 0.250 0.500
Nb2 0.000 0.000 0.000
```


LaIn: relaxed, PBE-GGA.

Results
**V**: 32.22 Å³/atom
**Formation energy**: -273 meV per atom

```
data_LaIn
_chemical_formula_sum 'La6 In6'
_symmetry_space_group_name_H-M 'P 1'
_symmetry_Int_Tables_number 1
_cell_length_a 9.836
_cell_length_b 9.836
_cell_length_c 4.615
_cell_angle_alpha 90.00
_cell_angle_beta 90.00
_cell_angle_gamma 120.00
loop_
_symmetry_equiv_pos_as_xyz
'x,y,z'
loop_
_atom_site_label
_atom_site_fract_x
_atom_site_fract_y
_atom_site_fract_z
La1 0.833 0.666 0.250
La2 0.167 0.334 0.750
La3 0.334 0.167 0.250
La4 0.833 0.167 0.250
La5 0.167 0.833 0.750
La6 0.666 0.833 0.750
In1 0.441 0.559 0.250
In2 0.559 0.118 0.750
In3 0.441 0.882 0.250
In4 0.882 0.441 0.750
In5 0.118 0.559 0.250
In6 0.559 0.441 0.750
```


Ce2Sb: relaxed, PBE-GGA.

Results
**ΔE_f (raw)**: -0.75 eV per atom
**V**: 29.09 Å³/atom

```
data_Ce2Sb
_chemical_formula_sum 'Ce4 Sb2'
_symmetry_space_group_name_H-M 'P 1'
_symmetry_Int_Tables_number 1
_cell_length_a 9.317
_cell_length_b 9.317
_cell_length_c 9.317
_cell_angle_alpha 152.29
_cell_angle_beta 152.29
_cell_angle_gamma 39.59
loop_
_symmetry_equiv_pos_as_xyz
'x,y,z'
loop_
_atom_site_label
_atom_site_fract_x
_atom_site_fract_y
_atom_site_fract_z
Ce1 0.500 0.000 0.500
Ce2 0.176 0.176 0.000
Ce3 0.000 0.500 0.500
Ce4 0.824 0.824 0.000
Sb1 0.362 0.362 0.000
Sb2 0.638 0.638 0.000
```


BeAg2Pb: relaxed, PBE-GGA.

Results
**Energy relative to the lowest polymorph listed for this composition**: 193 meV per atom
**V**: 18.72 Å³/atom
**Formation energy**: 405 meV per atom

```
data_BeAg2Pb
_chemical_formula_sum 'Be1 Ag2 Pb1'
_symmetry_space_group_name_H-M 'P 1'
_symmetry_Int_Tables_number 1
_cell_length_a 4.146
_cell_length_b 4.144
_cell_length_c 4.359
_cell_angle_alpha 90.00
_cell_angle_beta 90.00
_cell_angle_gamma 90.00
loop_
_symmetry_equiv_pos_as_xyz
'x,y,z'
loop_
_atom_site_label
_atom_site_fract_x
_atom_site_fract_y
_atom_site_fract_z
Ag1 0.000 0.000 0.000
Ag2 0.500 0.500 0.000
Be1 0.500 0.000 0.500
Pb1 0.000 0.500 0.500
```


TbNd5Dy3: relaxed, PBE-GGA.

Results
**Energy relative to the lowest polymorph listed for this composition**: 314 meV per atom
**V**: 37.70 Å³/atom
**Formation energy**: 483 meV per atom

```
data_TbNd5Dy3
_chemical_formula_sum 'Tb2 Nd10 Dy6'
_symmetry_space_group_name_H-M 'P 1'
_symmetry_Int_Tables_number 1
_cell_length_a 8.410
_cell_length_b 8.410
_cell_length_c 13.332
_cell_angle_alpha 60.50
_cell_angle_beta 60.50
_cell_angle_gamma 89.64
loop_
_symmetry_equiv_pos_as_xyz
'x,y,z'
loop_
_atom_site_label
_atom_site_fract_x
_atom_site_fract_y
_atom_site_fract_z
Nd1 0.253 0.747 0.000
Nd2 0.256 0.756 0.646
Nd3 0.323 0.323 0.419
Nd4 0.677 0.677 0.581
Nd5 0.334 0.334 0.917
Nd6 0.747 0.253 0.000
Nd7 0.744 0.244 0.354
Nd8 0.244 0.744 0.354
Nd9 0.756 0.256 0.646
Nd10 0.666 0.666 0.083
Dy1 0.000 0.000 0.500
Dy2 0.332 0.332 0.660
Dy3 0.675 0.675 0.824
Dy4 0.325 0.325 0.176
Dy5 0.668 0.668 0.340
Dy6 0.000 0.000 0.000
Tb1 0.994 0.994 0.768
Tb2 0.006 0.006 0.232
```


LiCoAg2: relaxed, PBE-GGA.

Results
**V**: 16.97 Å³/atom
**Formation energy**: 492 meV per atom

```
data_LiCoAg2
_chemical_formula_sum 'Li2 Co2 Ag4'
_symmetry_space_group_name_H-M 'P 1'
_symmetry_Int_Tables_number 1
_cell_length_a 3.860
_cell_length_b 3.860
_cell_length_c 9.514
_cell_angle_alpha 78.30
_cell_angle_beta 78.30
_cell_angle_gamma 90.00
loop_
_symmetry_equiv_pos_as_xyz
'x,y,z'
loop_
_atom_site_label
_atom_site_fract_x
_atom_site_fract_y
_atom_site_fract_z
Ag1 0.626 0.125 0.250
Ag2 0.875 0.876 0.750
Ag3 0.375 0.374 0.750
Ag4 0.124 0.625 0.250
Li1 0.250 0.750 0.500
Li2 0.500 0.500 0.000
Co1 0.000 0.000 0.000
Co2 0.750 0.250 0.500
```


Number 1: E -56.38 eV/cell, density of states at the Fermi level 8.79 states/eV per cell. Number 2: E -30.30 eV/cell, density of states at the Fermi level 4.32 states/eV per cell. Number 3: E -34.78 eV/cell, density of states at the Fermi level 9.32 states/eV per cell. Number 4: E -49.28 eV/cell, density of states at the Fermi level 12.44 states/eV per cell. Number 5: E -36.46 eV/cell, density of states at the Fermi level 21.36 states/eV per cell. Number 6: E -11.52 eV/cell, density of states at the Fermi level 1.64 states/eV per cell. Number 7: E -75.85 eV/cell, density of states at the Fermi level 25.67 states/eV per cell. Number 8: E -25.51 eV/cell, density of states at the Fermi level 7.12 states/eV per cell.